VASP calculation (PBE with a Hubbard U) on a geometry-optimized NpMnPtO6 structure.

Cell lengths 5.2716, 5.2716, 9.6114 Å; angles 90.00, 90.00, 120.00 degrees
Sites, in units of the cell vectors:
1 O 0.6616 0.0072 0.8678
2 O 0.0072 0.3456 0.1322
3 O 0.3384 0.9928 0.1322
4 O 0.3456 0.3384 0.8678
5 O 0.3384 0.3456 0.3678
6 O 0.0072 0.6616 0.3678
7 O 0.3456 0.0072 0.6322
8 O 0.9928 0.6544 0.8678
9 O 0.6616 0.6544 0.6322
10 O 0.6544 0.9928 0.3678
11 O 0.6544 0.6616 0.1322
12 O 0.9928 0.3384 0.6322
13 Np 0.3333 0.6667 0.7500
14 Np 0.6667 0.3333 0.2500
15 Pt 0.3333 0.6667 0.2500
16 Pt 0.6667 0.3333 0.7500
17 Mn 0.0000 0.0000 0.0000
18 Mn 0.0000 0.0000 0.5000

Calculated values
As for the space group: No. 163. For the uncorrected energy, the calculation gives -144.1 eV/cell.